[1]
Below is a relaxed Zn2CoOs crystal, with properties calculated at the GGA-PBE level.

## Properties
- SG: P4/mmm, No. 123
- Formation enthalpy at 0 K: 0.25 eV per atom
- Total magnetic moment: 1.65 μB per formula unit

Unit cell a=2.982 b=2.982 c=5.858 alpha=90.00 beta=90.00 gamma=90.00
Site moments in Bohr magnetons follow the coordinates.
Sites, in units of the cell vectors:
Zn (0.000, 0.000, 0.483)  -0.01
Zn (0.000, 0.000, 0.017)  -0.01
Co (0.500, 0.500, 0.250)  1.10
Os (0.500, 0.500, 0.750)  0.59



[2]
Below is a relaxed SiB crystal, with properties calculated at the GGA-PBE level.

## Properties
- SG: P6_3mc, No. 186
- Energy relative to the elements, uncorrected: 37.5 kJ per mole of atoms
- Total magnetic moment: 0.00 μB per formula unit

Unit cell a=3.184 b=3.184 c=5.836 alpha=90.00 beta=90.00 gamma=120.00
Sites, in units of the cell vectors:
B (0.333, 0.667, 0.017)
B (0.667, 0.333, 0.517)
Si (0.333, 0.667, 0.358)
Si (0.667, 0.333, 0.858)



Q: total magnetic moment of number 2 (SiB)?
A: 0.00 μB per formula unit



Q: total magnetic moment of number 2 (SiB)?
A: 0.00 μB per formula unit



Q: The highest total magnetic moment belongs to which entry?
A: Zn2CoOs